[1]
LaSm14Sc: optimized geometry, PBE.

Cell lengths 7.231, 7.231, 10.198 Å; angles 90.00, 90.00, 90.00 degrees
Space group P4/mmm (No. 123)
One atom of each set of equivalent atoms:
La  0.000  0.000  0.000 x1
Sm  0.000  0.000  0.500 x1
Sm  0.000  0.500  0.000 x2
Sm  0.000  0.500  0.500 x2
Sm  0.253  0.253  0.248 x8
Sm  0.500  0.500  0.500 x1
Sc  0.500  0.500  0.000 x1

Properties
theoretical density = 7.1 Mg/m³
final energy = -4.810 eV per atom
formation energy = 0.02 eV per atom
N(E_F) = 22.6 states/eV/cell

***

[2]
LaSmSc: optimized geometry, PBE.

Cell lengths 5.6004, 5.6004, 3.4252 Å; angles 90.00, 90.00, 120.00 degrees
Space group P3m1 (No. 156)
One atom of each set of equivalent atoms:
La  0.0000  0.0000  0.0000 x1
Sm  0.3333  0.6667  0.4994 x1
Sc  0.6667  0.3333  0.9980 x1

Properties
theoretical density = 6.0 Mg/m³
final energy = -5.235 eV per atom
ΔE to the lowest computed polymorph = 7 kJ/mol of formula units
formation energy = 0.09 eV per atom
N(E_F) = 4.2 states/eV/cell

***

[3]
La5Sm6Sc2: optimized geometry, PBE.

Cell lengths 10.945, 22.708, 3.554 Å; angles 90.00, 90.00, 90.00 degrees
Space group Pbam (No. 55)
One atom of each set of equivalent atoms:
La  0.000  0.000  0.000 x2
La  0.087  0.252  0.000 x4
La  0.168  0.506  0.000 x4
Sm  0.032  0.386  0.500 x4
Sm  0.139  0.118  0.500 x4
Sm  0.164  0.860  0.000 x4
Sc  0.163  0.729  0.500 x4

Properties
theoretical density = 6.3 Mg/m³
final energy = -4.917 eV per atom
formation energy = 0.13 eV per atom
N(E_F) = 36.3 states/eV/cell

***

[4]
LaSm4Sc3: optimized geometry, PBE.

Cell lengths 15.934, 5.631, 5.876 Å; angles 90.00, 111.03, 90.00 degrees
Space group C2/m (No. 12)
One atom of each set of equivalent atoms:
La  0.000  0.000  0.000 x2
Sm  0.133  0.000  0.582 x4
Sm  0.244  0.500  0.804 x4
Sc  0.000  0.500  0.500 x2
Sc  0.130  0.500  0.182 x4

Properties
theoretical density = 5.9 Mg/m³
final energy = -5.225 eV per atom
formation energy = 0.13 eV per atom
N(E_F) = 28.7 states/eV/cell

***

[5]
La8Sm5Sc: optimized geometry, PBE.

Cell lengths 8.682, 8.683, 8.703 Å; angles 114.45, 114.65, 99.61 degrees
Space group P1 (No. 1)
One atom of each set of equivalent atoms:
La  0.000  0.000  0.000 x1
La  0.005  0.543  0.676 x1
La  0.395  0.623  0.579 x1
La  0.431  0.441  0.999 x1
La  0.565  0.112  0.675 x1
La  0.610  0.932  0.102 x1
La  0.750  0.785  0.464 x1
La  0.886  0.398  0.212 x1
Sm  0.123  0.154  0.466 x1
Sm  0.224  0.956  0.743 x1
Sm  0.252  0.768  0.210 x1
Sm  0.495  0.272  0.336 x1
Sm  0.777  0.593  0.932 x1
Sc  0.001  0.274  0.838 x1

Properties
theoretical density = 6.4 Mg/m³
final energy = -4.805 eV per atom
formation energy = 0.15 eV per atom
N(E_F) = 22.6 states/eV/cell

***

[6]
La4Sm6Sc: optimized geometry, PBE.

Cell lengths 5.873, 9.803, 25.937 Å; angles 90.00, 90.00, 90.00 degrees
Space group Cmcm (No. 63)
One atom of each set of equivalent atoms:
La  0.000  0.043  0.123 x8
La  0.000  0.349  0.047 x8
Sm  0.000  0.000  0.000 x4
Sm  0.000  0.035  0.250 x4
Sm  0.000  0.302  0.612 x8
Sm  0.000  0.368  0.185 x8
Sc  0.000  0.302  0.750 x4

Properties
theoretical density = 6.7 Mg/m³
final energy = -4.822 eV per atom
formation energy = 0.12 eV per atom
N(E_F) = 73.3 states/eV/cell

***

[7]
LaSm4Sc2: optimized geometry, PBE.

Cell lengths 8.680, 6.441, 8.939 Å; angles 90.00, 116.83, 90.00 degrees
Space group P2_1/m (No. 11)
One atom of each set of equivalent atoms:
La  0.247  0.250  0.255 x2
Sm  0.009  0.750  0.567 x2
Sm  0.051  0.250  0.824 x2
Sm  0.403  0.008  0.773 x4
Sc  0.205  0.750  0.002 x2
Sc  0.368  0.750  0.424 x2

Properties
theoretical density = 6.2 Mg/m³
final energy = -5.034 eV per atom
ΔE to the lowest computed polymorph = 61 kJ/mol of formula units
formation energy = 0.18 eV per atom
N(E_F) = 26.0 states/eV/cell

***

[8]
La6SmSc2: optimized geometry, PBE.

Cell lengths 9.328, 17.667, 3.626 Å; angles 90.00, 90.00, 90.00 degrees
Space group Cmmm (No. 65)
One atom of each set of equivalent atoms:
La  0.174  0.000  0.000 x4
La  0.174  0.169  0.500 x8
Sm  0.000  0.500  0.500 x2
Sc  0.000  0.326  0.000 x4

Properties
theoretical density = 6.0 Mg/m³
final energy = -5.070 eV per atom
formation energy = 0.15 eV per atom
N(E_F) = 27.1 states/eV/cell

***

[9]
LaSm4Sc2: optimized geometry, PBE.

Cell lengths 3.575, 9.323, 13.745 Å; angles 75.85, 89.97, 89.97 degrees
Space group P-1 (No. 2)
One atom of each set of equivalent atoms:
La  0.249  0.343  0.197 x2
Sm  0.250  0.413  0.424 x2
Sm  0.250  0.685  0.016 x2
Sm  0.250  0.990  0.133 x2
Sm  0.251  0.915  0.614 x2
Sc  0.249  0.787  0.380 x2
Sc  0.250  0.343  0.768 x2

Properties
theoretical density = 6.2 Mg/m³
final energy = -5.124 eV per atom
ΔE to the lowest computed polymorph = 0 kJ/mol of formula units
formation energy = 0.09 eV per atom
N(E_F) = 20.7 states/eV/cell

***

[10]
La4Sm3Sc: optimized geometry, PBE.

Cell lengths 25.686, 3.489, 6.136 Å; angles 90.00, 94.97, 90.00 degrees
Space group C2/m (No. 12)
One atom of each set of equivalent atoms:
La  0.101  0.000  0.210 x4
La  0.218  0.500  0.239 x4
Sm  0.000  0.000  0.500 x2
Sm  0.144  0.000  0.722 x4
Sc  0.000  0.500  0.000 x2

Properties
theoretical density = 6.4 Mg/m³
final energy = -4.810 eV per atom
ΔE to the lowest computed polymorph = 0 kJ/mol of formula units
formation energy = 0.21 eV per atom
N(E_F) = 24.9 states/eV/cell

***

[11]
La12Sm3Sc: optimized geometry, PBE.

Cell lengths 5.199, 5.199, 20.824 Å; angles 90.00, 90.00, 90.00 degrees
Space group P4/mmm (No. 123)
One atom of each set of equivalent atoms:
La  0.000  0.000  0.000 x1
La  0.000  0.000  0.248 x2
La  0.000  0.000  0.500 x1
La  0.000  0.500  0.121 x4
La  0.000  0.500  0.373 x4
Sm  0.500  0.500  0.247 x2
Sm  0.500  0.500  0.500 x1
Sc  0.500  0.500  0.000 x1

Properties
theoretical density = 6.4 Mg/m³
final energy = -4.961 eV per atom
formation energy = 0.02 eV per atom
N(E_F) = 23.7 states/eV/cell

***

[12]
La8Sm4Sc: optimized geometry, PBE.

Cell lengths 11.8701, 11.8701, 11.7431 Å; angles 90.00, 90.00, 120.00 degrees
Space group R-3m (No. 166, hexagonal axes)
One atom of each set of equivalent atoms:
La  0.0000  0.0000  0.2440 x6
La  0.0022  0.5011  0.3274 x18
Sm  0.0000  0.0000  0.0000 x3
Sm  0.0000  0.5000  0.0000 x9
Sc  0.0000  0.0000  0.5000 x3

Properties
theoretical density = 6.1 Mg/m³
final energy = -4.593 eV per atom
formation energy = 0.38 eV per atom
N(E_F) = 86.5 states/eV/cell